# 1
VASP calculation (PBE) on a relaxed structure of Co5As12Ru3.

## Properties
Formation energy: -0.1 eV/f.u.
Total moment: 0.001 μB per atom

Structure (CIF):
```
data_Co5As12Ru3
_cell_length_a 12.1551
_cell_length_b 12.1551
_cell_length_c 12.1551
_cell_angle_alpha 109.47
_cell_angle_beta 109.47
_cell_angle_gamma 109.47
_symmetry_space_group_name_H-M 'P 1'
_symmetry_Int_Tables_number 1
loop_
_symmetry_equiv_pos_as_xyz
'x,y,z'
loop_
_atom_site_label
_atom_site_fract_x
_atom_site_fract_y
_atom_site_fract_z
_atom_site_occupancy
Co1 0.0000 0.0000 0.0000 1
Co2 0.0000 0.0000 0.5000 1
Co3 0.0000 0.5000 0.0000 1
Co4 0.0000 0.5000 0.5000 1
Co5 0.1250 0.7500 0.8750 1
Co6 0.1250 0.8750 0.2500 1
Co7 0.2500 0.1250 0.8750 1
Co8 0.2500 0.6250 0.3750 1
Co9 0.3750 0.2500 0.6250 1
Co10 0.3750 0.6250 0.7500 1
Co11 0.5000 0.0000 0.0000 1
Co12 0.5000 0.0000 0.5000 1
Co13 0.5000 0.5000 0.0000 1
Co14 0.5000 0.5000 0.5000 1
Co15 0.6250 0.3750 0.2500 1
Co16 0.6250 0.7500 0.3750 1
Co17 0.7500 0.3750 0.6250 1
Co18 0.7500 0.8750 0.1250 1
Co19 0.8750 0.1250 0.7500 1
Co20 0.8750 0.2500 0.1250 1
As1 0.0481 0.2216 0.1261 1
As2 0.0481 0.3265 0.9220 1
As3 0.0780 0.6261 0.4044 1
As4 0.0780 0.9519 0.6735 1
As5 0.0956 0.7216 0.6735 1
As6 0.0956 0.8739 0.4220 1
As7 0.1261 0.0481 0.2216 1
As8 0.1261 0.5780 0.9044 1
As9 0.1735 0.2216 0.5956 1
As10 0.1735 0.4519 0.5780 1
As11 0.2216 0.1261 0.0481 1
As12 0.2216 0.5956 0.1735 1
As13 0.2784 0.3265 0.9044 1
As14 0.2784 0.4519 0.3739 1
As15 0.3265 0.9044 0.2784 1
As16 0.3265 0.9220 0.0481 1
As17 0.3739 0.2784 0.4519 1
As18 0.3739 0.5956 0.9220 1
As19 0.4044 0.0780 0.6261 1
As20 0.4044 0.8265 0.7784 1
As21 0.4220 0.0956 0.8739 1
As22 0.4220 0.8265 0.5481 1
As23 0.4519 0.3739 0.2784 1
As24 0.4519 0.5780 0.1735 1
As25 0.5481 0.4220 0.8265 1
As26 0.5481 0.6261 0.7216 1
As27 0.5780 0.1735 0.4519 1
As28 0.5780 0.9044 0.1261 1
As29 0.5956 0.1735 0.2216 1
As30 0.5956 0.9220 0.3739 1
As31 0.6261 0.4044 0.0780 1
As32 0.6261 0.7216 0.5481 1
As33 0.6735 0.0780 0.9519 1
As34 0.6735 0.0956 0.7216 1
As35 0.7216 0.5481 0.6261 1
As36 0.7216 0.6735 0.0956 1
As37 0.7784 0.4044 0.8265 1
As38 0.7784 0.8739 0.9519 1
As39 0.8265 0.5481 0.4220 1
As40 0.8265 0.7784 0.4044 1
As41 0.8739 0.4220 0.0956 1
As42 0.8739 0.9519 0.7784 1
As43 0.9044 0.1261 0.5780 1
As44 0.9044 0.2784 0.3265 1
As45 0.9220 0.0481 0.3265 1
As46 0.9220 0.3739 0.5956 1
As47 0.9519 0.6735 0.0780 1
As48 0.9519 0.7784 0.8739 1
Ru1 0.1250 0.2500 0.3750 1
Ru2 0.1250 0.3750 0.7500 1
Ru3 0.2500 0.3750 0.1250 1
Ru4 0.2500 0.8750 0.6250 1
Ru5 0.3750 0.1250 0.2500 1
Ru6 0.3750 0.7500 0.1250 1
Ru7 0.6250 0.2500 0.8750 1
Ru8 0.6250 0.8750 0.7500 1
Ru9 0.7500 0.1250 0.3750 1
Ru10 0.7500 0.6250 0.8750 1
Ru11 0.8750 0.6250 0.2500 1
Ru12 0.8750 0.7500 0.6250 1
```

=====

# 2
VASP calculation (PBE) on a relaxed structure of CoAsRu2.

## Properties
Formation energy: 0.5 eV/f.u.
Total moment: 0.361 μB per atom

Structure (CIF):
```
data_CoAsRu2
_cell_length_a 2.8210
_cell_length_b 3.8570
_cell_length_c 5.1902
_cell_angle_alpha 90.00
_cell_angle_beta 102.86
_cell_angle_gamma 90.00
_symmetry_space_group_name_H-M 'P 1'
_symmetry_Int_Tables_number 1
loop_
_symmetry_equiv_pos_as_xyz
'x,y,z'
loop_
_atom_site_label
_atom_site_fract_x
_atom_site_fract_y
_atom_site_fract_z
_atom_site_occupancy
Co1 0.0000 0.0000 0.0000 1
As1 0.0000 0.0000 0.5000 1
Ru1 0.3722 0.5000 0.7478 1
Ru2 0.6278 0.5000 0.2522 1
```

=====

# 3
VASP calculation (PBE) on a relaxed structure of CoAsRu.

## Properties
Formation energy: 0.0 eV/f.u.
Total moment: 0.171 μB per atom
Energy above the most stable polymorph in this dataset: 91 meV/atom

Structure (CIF):
```
data_CoAsRu
_cell_length_a 3.9544
_cell_length_b 3.9544
_cell_length_c 3.9544
_cell_angle_alpha 60.00
_cell_angle_beta 60.00
_cell_angle_gamma 60.00
_symmetry_space_group_name_H-M 'P 1'
_symmetry_Int_Tables_number 1
loop_
_symmetry_equiv_pos_as_xyz
'x,y,z'
loop_
_atom_site_label
_atom_site_fract_x
_atom_site_fract_y
_atom_site_fract_z
_atom_site_occupancy
Co1 0.0000 0.0000 0.0000 1
As1 0.7500 0.7500 0.7500 1
Ru1 0.5000 0.5000 0.5000 1
```

=====

# 4
VASP calculation (PBE) on a relaxed structure of Co2AsRu.

## Properties
Formation energy: 0.3 eV/f.u.
Total moment: 0.510 μB per atom

Structure (CIF):
```
data_Co2AsRu
_cell_length_a 4.3944
_cell_length_b 4.3944
_cell_length_c 4.3944
_cell_angle_alpha 129.41
_cell_angle_beta 129.41
_cell_angle_gamma 74.36
_symmetry_space_group_name_H-M 'P 1'
_symmetry_Int_Tables_number 1
loop_
_symmetry_equiv_pos_as_xyz
'x,y,z'
loop_
_atom_site_label
_atom_site_fract_x
_atom_site_fract_y
_atom_site_fract_z
_atom_site_occupancy
Co1 0.0000 0.0000 0.0000 1
Co2 0.7500 0.2500 0.5000 1
As1 0.5000 0.5000 0.0000 1
Ru1 0.2500 0.7500 0.5000 1
```